No. 1
Compound: RbSnO2
Source: Alexandria
Functional: PBE
Structure: optimized geometry

Cell lengths 3.0879, 3.0879, 6.7340 Å; angles 90.00, 90.00, 90.00 degrees
Atoms (fractional coordinates):
Rb: 0.0000 0.0000 0.0000
Sn: 0.0000 0.0000 0.5000
O: 0.5000 0.5000 0.3086
O: 0.5000 0.5000 0.6914

No. 2
Compound: Rb4SnO3
Source: Alexandria
Functional: PBE
Structure: optimized geometry

Cell lengths 6.8472, 12.0515, 20.1682 Å; angles 90.00, 90.00, 90.00 degrees
Atoms (fractional coordinates):
Rb: 0.0338 0.1076 0.2060
Rb: 0.0338 0.3924 0.7060
Rb: 0.1240 0.6766 0.6566
Rb: 0.1240 0.8234 0.1566
Rb: 0.2318 0.1885 0.4435
Rb: 0.2318 0.3115 0.9435
Rb: 0.2433 0.0560 0.0366
Rb: 0.2433 0.4440 0.5366
Rb: 0.2567 0.5560 0.0366
Rb: 0.2567 0.9440 0.5366
Rb: 0.2682 0.6885 0.4435
Rb: 0.2682 0.8115 0.9435
Rb: 0.3760 0.1766 0.6566
Rb: 0.3760 0.3234 0.1566
Rb: 0.4662 0.6076 0.2060
Rb: 0.4662 0.8924 0.7060
Rb: 0.5338 0.1076 0.2940
Rb: 0.5338 0.3924 0.7940
Rb: 0.6240 0.6766 0.8434
Rb: 0.6240 0.8234 0.3434
Rb: 0.7318 0.1885 0.0565
Rb: 0.7318 0.3115 0.5565
Rb: 0.7433 0.0560 0.4634
Rb: 0.7433 0.4440 0.9634
Rb: 0.7567 0.5560 0.4634
Rb: 0.7567 0.9440 0.9634
Rb: 0.7682 0.6885 0.0565
Rb: 0.7682 0.8115 0.5565
Rb: 0.8760 0.1766 0.8434
Rb: 0.8760 0.3234 0.3434
Rb: 0.9662 0.6076 0.2940
Rb: 0.9662 0.8924 0.7940
Sn: 0.1063 0.5650 0.8539
Sn: 0.1063 0.9350 0.3539
Sn: 0.3937 0.0650 0.8539
Sn: 0.3937 0.4350 0.3539
Sn: 0.6063 0.5650 0.6461
Sn: 0.6063 0.9350 0.1461
Sn: 0.8937 0.0650 0.6461
Sn: 0.8937 0.4350 0.1461
O: 0.0328 0.5897 0.1545
O: 0.0328 0.9103 0.6545
O: 0.0425 0.1406 0.5679
O: 0.0425 0.3594 0.0679
O: 0.1325 0.0205 0.8997
O: 0.1325 0.4795 0.3997
O: 0.3675 0.5205 0.8997
O: 0.3675 0.9795 0.3997
O: 0.4575 0.6406 0.5679
O: 0.4575 0.8594 0.0679
O: 0.4672 0.0897 0.1545
O: 0.4672 0.4103 0.6545
O: 0.5328 0.5897 0.3455
O: 0.5328 0.9103 0.8455
O: 0.5425 0.1406 0.9321
O: 0.5425 0.3594 0.4321
O: 0.6325 0.0205 0.6003
O: 0.6325 0.4795 0.1003
O: 0.8675 0.5205 0.6003
O: 0.8675 0.9795 0.1003
O: 0.9575 0.6406 0.9321
O: 0.9575 0.8594 0.4321
O: 0.9672 0.0897 0.3455
O: 0.9672 0.4103 0.8455

No. 3
Compound: Rb8SnO6
Source: Alexandria
Functional: PBE
Structure: optimized geometry

Cell lengths 8.0273, 7.7313, 12.5231 Å; angles 90.00, 90.00, 90.00 degrees
Atoms (fractional coordinates):
Rb: 0.0000 0.0837 0.0648
Rb: 0.0000 0.1462 0.5922
Rb: 0.2055 0.5352 0.7709
Rb: 0.2149 0.6406 0.5000
Rb: 0.2240 0.9823 0.8095
Rb: 0.2760 0.0177 0.3095
Rb: 0.2851 0.3594 0.0000
Rb: 0.2945 0.4648 0.2709
Rb: 0.5000 0.8538 0.0922
Rb: 0.5000 0.9163 0.5648
Rb: 0.7055 0.4648 0.2709
Rb: 0.7149 0.3594 0.0000
Rb: 0.7240 0.0177 0.3095
Rb: 0.7760 0.9823 0.8095
Rb: 0.7851 0.6406 0.5000
Rb: 0.7945 0.5352 0.7709
Sn: 0.0000 0.6696 0.0892
Sn: 0.5000 0.3304 0.5892
O: 0.0000 0.2397 0.8529
O: 0.0000 0.4213 0.1371
O: 0.0000 0.7810 0.6557
O: 0.0000 0.8178 0.2209
O: 0.2044 0.7194 0.0013
O: 0.2956 0.2806 0.5013
O: 0.5000 0.1822 0.7209
O: 0.5000 0.2190 0.1557
O: 0.5000 0.5787 0.6371
O: 0.5000 0.7603 0.3529
O: 0.7044 0.2806 0.5013
O: 0.7956 0.7194 0.0013

No. 4
Compound: Rb8SnO6
Source: Alexandria
Functional: PBE
Structure: optimized geometry

Cell lengths 7.4987, 7.4987, 15.8385 Å; angles 90.00, 90.00, 120.00 degrees
Atoms (fractional coordinates):
Rb: 0.0000 0.2849 0.0000
Rb: 0.0000 0.3966 0.3470
Rb: 0.0000 0.6034 0.8470
Rb: 0.0000 0.7151 0.5000
Rb: 0.2849 0.0000 0.0000
Rb: 0.2849 0.2849 0.5000
Rb: 0.3333 0.6667 0.1434
Rb: 0.3333 0.6667 0.6434
Rb: 0.3966 0.0000 0.3470
Rb: 0.3966 0.3966 0.8470
Rb: 0.6034 0.0000 0.8470
Rb: 0.6034 0.6034 0.3470
Rb: 0.6667 0.3333 0.1434
Rb: 0.6667 0.3333 0.6434
Rb: 0.7151 0.0000 0.5000
Rb: 0.7151 0.7151 0.0000
Sn: 0.0000 0.0000 0.2205
Sn: 0.0000 0.0000 0.7205
O: 0.0000 0.0000 0.3493
O: 0.0000 0.0000 0.8493
O: 0.0000 0.2542 0.1805
O: 0.0000 0.7458 0.6805
O: 0.2542 0.0000 0.1805
O: 0.2542 0.2542 0.6805
O: 0.3333 0.6667 0.4561
O: 0.3333 0.6667 0.9561
O: 0.6667 0.3333 0.4561
O: 0.6667 0.3333 0.9561
O: 0.7458 0.0000 0.6805
O: 0.7458 0.7458 0.1805

No. 5
Compound: Rb3Sn5O12
Source: Alexandria
Functional: PBE
Structure: optimized geometry

Cell lengths 11.9327, 11.9327, 11.9327 Å; angles 109.47, 109.47, 109.47 degrees
Atoms (fractional coordinates):
Rb: 0.1250 0.2500 0.3750
Rb: 0.1250 0.3750 0.7500
Rb: 0.2500 0.3750 0.1250
Rb: 0.2500 0.8750 0.6250
Rb: 0.3750 0.1250 0.2500
Rb: 0.3750 0.7500 0.1250
Rb: 0.6250 0.2500 0.8750
Rb: 0.6250 0.8750 0.7500
Rb: 0.7500 0.1250 0.3750
Rb: 0.7500 0.6250 0.8750
Rb: 0.8750 0.6250 0.2500
Rb: 0.8750 0.7500 0.6250
Sn: 0.0000 0.0000 0.0000
Sn: 0.0000 0.0000 0.5000
Sn: 0.0000 0.5000 0.0000
Sn: 0.0000 0.5000 0.5000
Sn: 0.1250 0.7500 0.8750
Sn: 0.1250 0.8750 0.2500
Sn: 0.2500 0.1250 0.8750
Sn: 0.2500 0.6250 0.3750
Sn: 0.3750 0.2500 0.6250
Sn: 0.3750 0.6250 0.7500
Sn: 0.5000 0.0000 0.0000
Sn: 0.5000 0.0000 0.5000
Sn: 0.5000 0.5000 0.0000
Sn: 0.5000 0.5000 0.5000
Sn: 0.6250 0.3750 0.2500
Sn: 0.6250 0.7500 0.3750
Sn: 0.7500 0.3750 0.6250
Sn: 0.7500 0.8750 0.1250
Sn: 0.8750 0.1250 0.7500
Sn: 0.8750 0.2500 0.1250
O: 0.0048 0.1851 0.1044
O: 0.0048 0.3197 0.9004
O: 0.0807 0.6851 0.6803
O: 0.0807 0.8956 0.4004
O: 0.0996 0.6044 0.4193
O: 0.0996 0.9952 0.6803
O: 0.1044 0.0048 0.1851
O: 0.1044 0.5996 0.9193
O: 0.1803 0.1851 0.5807
O: 0.1803 0.4952 0.5996
O: 0.1851 0.1044 0.0048
O: 0.1851 0.5807 0.1803
O: 0.3149 0.3197 0.9193
O: 0.3149 0.4952 0.3956
O: 0.3197 0.9004 0.0048
O: 0.3197 0.9193 0.3149
O: 0.3956 0.3149 0.4952
O: 0.3956 0.5807 0.9004
O: 0.4004 0.0807 0.8956
O: 0.4004 0.8197 0.5048
O: 0.4193 0.0996 0.6044
O: 0.4193 0.8197 0.8149
O: 0.4952 0.3956 0.3149
O: 0.4952 0.5996 0.1803
O: 0.5048 0.4004 0.8197
O: 0.5048 0.6044 0.6851
O: 0.5807 0.1803 0.1851
O: 0.5807 0.9004 0.3956
O: 0.5996 0.1803 0.4952
O: 0.5996 0.9193 0.1044
O: 0.6044 0.4193 0.0996
O: 0.6044 0.6851 0.5048
O: 0.6803 0.0807 0.6851
O: 0.6803 0.0996 0.9952
O: 0.6851 0.5048 0.6044
O: 0.6851 0.6803 0.0807
O: 0.8149 0.4193 0.8197
O: 0.8149 0.8956 0.9952
O: 0.8197 0.5048 0.4004
O: 0.8197 0.8149 0.4193
O: 0.8956 0.4004 0.0807
O: 0.8956 0.9952 0.8149
O: 0.9004 0.0048 0.3197
O: 0.9004 0.3956 0.5807
O: 0.9193 0.1044 0.5996
O: 0.9193 0.3149 0.3197
O: 0.9952 0.6803 0.0996
O: 0.9952 0.8149 0.8956

No. 6
Compound: RbSn4O8
Source: Alexandria
Functional: PBE
Structure: optimized geometry

Cell lengths 7.8709, 7.8709, 10.8744 Å; angles 133.56, 133.56, 24.26 degrees
Atoms (fractional coordinates):
Rb: 0.0000 0.0000 0.0000
Sn: 0.1503 0.1503 0.4858
Sn: 0.3360 0.3360 0.1850
Sn: 0.6640 0.6640 0.8150
Sn: 0.8497 0.8497 0.5142
O: 0.0419 0.0419 0.7095
O: 0.2939 0.2939 0.9486
O: 0.3355 0.3355 0.3773
O: 0.3443 0.3443 0.6392
O: 0.6557 0.6557 0.3608
O: 0.6645 0.6645 0.6227
O: 0.7061 0.7061 0.0514
O: 0.9581 0.9581 0.2905

No. 7
Compound: Rb3SnO3
Source: Alexandria
Functional: PBE
Structure: optimized geometry

Cell lengths 7.0704, 7.0704, 7.0704 Å; angles 115.70, 115.70, 115.70 degrees
Atoms (fractional coordinates):
Rb: 0.0198 0.4901 0.4901
Rb: 0.4901 0.0198 0.4901
Rb: 0.4901 0.4901 0.0198
Sn: 0.0205 0.0205 0.0205
O: 0.0791 0.0791 0.3542
O: 0.0791 0.3543 0.0791
O: 0.3542 0.0791 0.0791

No. 8
Compound: RbSn2O
Source: Alexandria
Functional: PBE
Structure: optimized geometry

Cell lengths 8.6473, 8.6473, 8.6473 Å; angles 139.63, 139.63, 58.42 degrees
Atoms (fractional coordinates):
Rb: 0.3750 0.6250 0.7500
Rb: 0.6250 0.3750 0.2500
Sn: 0.0000 0.0000 0.0000
Sn: 0.0000 0.0000 0.5000
Sn: 0.0000 0.5000 0.0000
Sn: 0.5000 0.0000 0.5000
O: 0.1250 0.8750 0.2500
O: 0.8750 0.1250 0.7500

No. 9
Compound: Rb5SnO5
Source: Alexandria
Functional: PBE
Structure: optimized geometry

Cell lengths 6.7891, 6.7891, 7.6706 Å; angles 106.20, 106.20, 47.61 degrees
Atoms (fractional coordinates):
Rb: 0.0000 0.0000 0.0000
Rb: 0.3157 0.3157 0.2002
Rb: 0.3309 0.3309 0.6572
Rb: 0.6691 0.6691 0.3428
Rb: 0.6843 0.6843 0.7998
Sn: 0.0000 0.0000 0.5000
O: 0.1223 0.1223 0.3695
O: 0.1253 0.1253 0.7556
O: 0.5000 0.5000 0.5000
O: 0.8747 0.8747 0.2444
O: 0.8777 0.8777 0.6305

No. 10
Compound: RbSrSnO3
Source: Alexandria
Functional: PBE
Structure: optimized geometry

Cell lengths 6.3983, 4.0460, 9.6683 Å; angles 90.00, 90.13, 90.00 degrees
Atoms (fractional coordinates):
Rb: 0.2488 0.2500 0.1782
Rb: 0.7512 0.7500 0.8218
Sr: 0.2500 0.7500 0.5292
Sr: 0.7500 0.2500 0.4708
Sn: 0.2512 0.2500 0.7968
Sn: 0.7488 0.7500 0.2032
O: 0.0275 0.2500 0.6427
O: 0.2507 0.7500 0.8633
O: 0.4746 0.2500 0.6433
O: 0.5254 0.7500 0.3567
O: 0.7493 0.2500 0.1367
O: 0.9725 0.7500 0.3573

No. 11
Compound: RbSrSnO2
Source: Alexandria
Functional: PBE
Structure: optimized geometry

Cell lengths 4.9359, 4.9359, 6.1498 Å; angles 90.00, 90.00, 90.00 degrees
Atoms (fractional coordinates):
Rb: 0.0000 0.0000 0.0000
Sr: 0.5000 0.5000 0.5000
Sn: 0.5000 0.5000 0.0000
O: 0.0000 0.5000 0.5000
O: 0.5000 0.0000 0.5000

No. 12
Compound: Rb3Ta2SnO8
Source: Alexandria
Functional: PBE
Structure: optimized geometry

Cell lengths 6.2369, 6.2369, 8.0591 Å; angles 90.00, 90.00, 120.00 degrees
Atoms (fractional coordinates):
Rb: 0.0000 0.0000 0.0000
Rb: 0.3333 0.6667 0.6957
Rb: 0.6667 0.3333 0.3043
Ta: 0.3333 0.6667 0.2533
Ta: 0.6667 0.3333 0.7467
Sn: 0.0000 0.0000 0.5000
O: 0.1680 0.3359 0.3314
O: 0.1680 0.8320 0.3314
O: 0.3333 0.6667 0.0283
O: 0.3359 0.1680 0.6686
O: 0.6641 0.8320 0.3314
O: 0.6667 0.3333 0.9717
O: 0.8320 0.1680 0.6686
O: 0.8320 0.6641 0.6686

Number 1: E_form (uncorrected) -829 meV/atom. Number 2: E_form (uncorrected) -1267 meV/atom. Number 3: E_form (uncorrected) -1168 meV/atom. Number 4: E_form (uncorrected) -1228 meV/atom. Number 5: E_form (uncorrected) -1405 meV/atom. Number 6: E_form (uncorrected) -1615 meV/atom. Number 7: E_form (uncorrected) -1273 meV/atom. Number 8: E_form (uncorrected) -299 meV/atom. Number 9: E_form (uncorrected) -1143 meV/atom. Number 10: E_form (uncorrected) -1851 meV/atom. Number 11: E_form (uncorrected) -286 meV/atom. Number 12: E_form (uncorrected) -2190 meV/atom.